1.
First-principles (GGA-PBE) data for a relaxed structure of Sr12InHg5, as listed in Alexandria via LeMat-Bulk.

Output
DOS(E_F)	20.50	states/eV/f.u.
ΔE_f	-0.35	eV per atom
mass density	5.0	g cm⁻³
spin magnetization	0.00	μB/f.u.

Lattice parameters (Å, degrees): 9.7859 9.7859 9.7859 104.83 113.86 109.85
With the nearest neighbours (Å) after each atom.
Element x y z (fractional)
1 Sr 0.5413 0.8219 0.7194  4 Hg 3.47-3.60
2 Sr 0.8975 0.1781 0.7194  4 Hg 3.47-3.60
3 Sr 0.1885 0.4327 0.2442  2 Hg 3.36-3.60, 1 In 3.72
4 Sr 0.1885 0.9444 0.7558  2 Hg 3.36-3.60, 1 In 3.72
5 Sr 0.2975 0.6614 0.9589  3 Hg 3.27-3.43
6 Sr 0.2975 0.3386 0.6361  3 Hg 3.27-3.43
7 Sr 0.7025 0.3386 0.0411  3 Hg 3.27-3.43
8 Sr 0.7025 0.6614 0.3639  3 Hg 3.27-3.43
9 Sr 0.4587 0.1781 0.2806  4 Hg 3.47-3.60
10 Sr 0.8115 0.0556 0.2442  2 Hg 3.36-3.60, 1 In 3.72
11 Sr 0.8115 0.5673 0.7558  2 Hg 3.36-3.60, 1 In 3.72
12 Sr 0.1025 0.8219 0.2806  4 Hg 3.47-3.60
13 Hg 0.0000 0.0000 0.0000  8 Sr 3.60, 2 Hg 3.78
14 Hg 0.5000 0.1336 0.6336  1 Hg 3.19, 6 Sr 3.27-3.47
15 Hg 0.6636 0.6636 0.0000  8 Sr 3.36-3.49, 1 Hg 3.68
16 Hg 0.5000 0.8664 0.3664  1 Hg 3.19, 6 Sr 3.27-3.47
17 Hg 0.3364 0.3364 0.0000  8 Sr 3.36-3.49, 1 Hg 3.68
18 In 0.0000 0.5000 0.5000  8 Sr 3.72



2.
First-principles (GGA-PBE) data for a relaxed structure of Sr2InHg, as listed in Alexandria via LeMat-Bulk.

Output
DOS(E_F)	3.17	states/eV/f.u.
ΔE_f	-0.43	eV per atom
mass density	6.0	g cm⁻³
spin magnetization	0.00	μB/f.u.

Lattice parameters (Å, degrees): 3.9916 5.5336 12.3568 90.02 99.26 90.00
With the nearest neighbours (Å) after each atom.
Element x y z (fractional)
1 In 0.6645 0.7502 0.3302  7 Sr 3.40-3.51, 2 Hg 3.53-3.54
2 In 0.3355 0.2498 0.6698  7 Sr 3.40-3.51, 2 Hg 3.53-3.54
3 Sr 0.8095 0.7498 0.6177  2 Hg 3.47, 5 In 3.47-3.51
4 Sr 0.9480 0.2497 0.8955  2 In 3.40, 6 Hg 3.45-3.69, 2 Sr 3.76
5 Sr 0.1905 0.2502 0.3823  2 Hg 3.47, 5 In 3.47-3.51
6 Sr 0.0520 0.7503 0.1045  2 In 3.40, 6 Hg 3.45-3.69, 2 Sr 3.76
7 Hg 0.5747 0.2506 0.1499  8 Sr 3.45-3.69, 2 In 3.53-3.54
8 Hg 0.4253 0.7494 0.8501  8 Sr 3.45-3.69, 2 In 3.53-3.54



3.
First-principles (GGA-PBE) data for a relaxed structure of SrIn12Hg6, as listed in Alexandria via LeMat-Bulk.

Output
DOS(E_F)	6.88	states/eV/f.u.
ΔE_f	-0.04	eV per atom
mass density	8.4	g cm⁻³
spin magnetization	0.00	μB/f.u.

Lattice parameters (Å, degrees): 8.7490 8.7490 8.7490 65.49 65.49 65.49
With the nearest neighbours (Å) after each atom.
Element x y z (fractional)
1 Hg 0.1434 0.1287 0.5419  8 In 3.16-3.42, 1 Sr 3.49
2 Hg 0.5419 0.1434 0.1287  8 In 3.16-3.42, 1 Sr 3.49
3 Hg 0.8713 0.4581 0.8566  8 In 3.16-3.42, 1 Sr 3.49
4 Hg 0.1287 0.5419 0.1434  8 In 3.16-3.42, 1 Sr 3.49
5 Hg 0.4581 0.8566 0.8713  8 In 3.16-3.42, 1 Sr 3.49
6 Hg 0.8566 0.8713 0.4581  8 In 3.16-3.42, 1 Sr 3.49
7 In 0.0954 0.7393 0.7354  4 In 3.09-3.39, 4 Hg 3.23-3.39
8 In 0.5237 0.4934 0.1748  5 In 3.09-3.33, 4 Hg 3.16-3.42
9 In 0.1748 0.5237 0.4934  5 In 3.09-3.33, 4 Hg 3.16-3.42
10 In 0.2646 0.9046 0.2607  4 In 3.09-3.39, 4 Hg 3.23-3.39
11 In 0.2607 0.2646 0.9046  4 In 3.09-3.39, 4 Hg 3.23-3.39
12 In 0.7354 0.0954 0.7393  4 In 3.09-3.39, 4 Hg 3.23-3.39
13 In 0.4763 0.5066 0.8252  5 In 3.09-3.33, 4 Hg 3.16-3.42
14 In 0.8252 0.4763 0.5066  5 In 3.09-3.33, 4 Hg 3.16-3.42
15 In 0.9046 0.2607 0.2646  4 In 3.09-3.39, 4 Hg 3.23-3.39
16 In 0.5066 0.8252 0.4763  5 In 3.09-3.33, 4 Hg 3.16-3.42
17 In 0.4934 0.1748 0.5237  5 In 3.09-3.33, 4 Hg 3.16-3.42
18 In 0.7393 0.7354 0.0954  4 In 3.09-3.39, 4 Hg 3.23-3.39
19 Sr 0.0000 0.0000 0.0000  6 Hg 3.49, 6 In 3.53



4.
First-principles (GGA-PBE) data for a relaxed structure of SrIn4Hg12, as listed in Alexandria via LeMat-Bulk.

Output
DOS(E_F)	10.43	states/eV/f.u.
ΔE_f	-0.01	eV per atom
mass density	9.3	g cm⁻³
spin magnetization	0.00	μB/f.u.

Lattice parameters (Å, degrees): 8.8056 8.8056 8.8056 109.47 109.47 109.47
With the nearest neighbours (Å) after each atom.
Element x y z (fractional)
1 In 0.5000 0.5000 0.5000  6 Hg 2.94
2 In 0.0000 0.5000 0.0000  6 Hg 2.94
3 In 0.0000 0.0000 0.5000  6 Hg 2.94
4 In 0.5000 0.0000 0.0000  6 Hg 2.94
5 Hg 0.6486 0.7947 0.1462  2 In 2.94, 2 Hg 2.97-3.02
6 Hg 0.7947 0.1462 0.6486  2 In 2.94, 2 Hg 2.97-3.02
7 Hg 0.1462 0.3514 0.4976  2 In 2.94, 2 Hg 2.97-3.02
8 Hg 0.2053 0.8538 0.3514  2 In 2.94, 2 Hg 2.97-3.02
9 Hg 0.6486 0.5024 0.8538  2 In 2.94, 2 Hg 2.97-3.02
10 Hg 0.5024 0.8538 0.6486  2 In 2.94, 2 Hg 2.97-3.02
11 Hg 0.1462 0.6486 0.7947  2 In 2.94, 2 Hg 2.97-3.02
12 Hg 0.4976 0.1462 0.3514  2 In 2.94, 2 Hg 2.97-3.02
13 Hg 0.8538 0.6486 0.5024  2 In 2.94, 2 Hg 2.97-3.02
14 Hg 0.3514 0.2053 0.8538  2 In 2.94, 2 Hg 2.97-3.02
15 Hg 0.8538 0.3514 0.2053  2 In 2.94, 2 Hg 2.97-3.02
16 Hg 0.3514 0.4976 0.1462  2 In 2.94, 2 Hg 2.97-3.02
17 Sr 0.0000 0.0000 0.0000  12 Hg 3.87